Run one
This record from OQMD describes crystalline TaCdCuB at its relaxed geometry. The functional is PBE.

Computed properties:
magnetization: 0.05 Bohr magnetons per cell

```
data_TaCdCuB
_symmetry_space_group_name_H-M 'P 1'
_symmetry_Int_Tables_number 1
_cell_length_a 4.396
_cell_length_b 4.396
_cell_length_c 4.396
_cell_angle_alpha 60.00
_cell_angle_beta 60.00
_cell_angle_gamma 60.00
loop_
_symmetry_equiv_pos_as_xyz
'x,y,z'
loop_
_atom_site_label
_atom_site_type_symbol
_atom_site_fract_x
_atom_site_fract_y
_atom_site_fract_z
Cu1 Cu 0.750 0.750 0.750
B1 B 0.000 0.000 0.000
Ta1 Ta 0.500 0.500 0.500
Cd1 Cd 0.250 0.250 0.250
```

Run two
This record from OQMD describes crystalline TaCdCuB at its relaxed geometry. The functional is PBE.

Computed properties:
magnetization: 0.01 Bohr magnetons per cell

```
data_TaCdCuB
_symmetry_space_group_name_H-M 'P 1'
_symmetry_Int_Tables_number 1
_cell_length_a 4.348
_cell_length_b 4.348
_cell_length_c 4.348
_cell_angle_alpha 60.00
_cell_angle_beta 60.00
_cell_angle_gamma 60.00
loop_
_symmetry_equiv_pos_as_xyz
'x,y,z'
loop_
_atom_site_label
_atom_site_type_symbol
_atom_site_fract_x
_atom_site_fract_y
_atom_site_fract_z
Cd1 Cd 0.500 0.500 0.500
B1 B 0.000 0.000 0.000
Cu1 Cu 0.750 0.750 0.750
Ta1 Ta 0.250 0.250 0.250
```

Which of them is most stable, and which least? Most stable: run two; least stable: run one.

Run one
This record from OQMD describes crystalline ScCdFeB at its relaxed geometry. The functional is PBE.

Computed properties:
magnetization: 1.62 Bohr magnetons per cell

```
data_ScCdFeB
_symmetry_space_group_name_H-M 'P 1'
_symmetry_Int_Tables_number 1
_cell_length_a 4.331
_cell_length_b 4.331
_cell_length_c 4.331
_cell_angle_alpha 60.00
_cell_angle_beta 60.00
_cell_angle_gamma 60.00
loop_
_symmetry_equiv_pos_as_xyz
'x,y,z'
loop_
_atom_site_label
_atom_site_type_symbol
_atom_site_fract_x
_atom_site_fract_y
_atom_site_fract_z
Cd1 Cd 0.250 0.250 0.250
B1 B 0.000 0.000 0.000
Sc1 Sc 0.500 0.500 0.500
Fe1 Fe 0.750 0.750 0.750
```

Run two
This record from OQMD describes crystalline ScCdFeB at its relaxed geometry. The functional is PBE.

Computed properties:
magnetization: 2.16 Bohr magnetons per cell

```
data_ScCdFeB
_symmetry_space_group_name_H-M 'P 1'
_symmetry_Int_Tables_number 1
_cell_length_a 4.361
_cell_length_b 4.361
_cell_length_c 4.361
_cell_angle_alpha 60.00
_cell_angle_beta 60.00
_cell_angle_gamma 60.00
loop_
_symmetry_equiv_pos_as_xyz
'x,y,z'
loop_
_atom_site_label
_atom_site_type_symbol
_atom_site_fract_x
_atom_site_fract_y
_atom_site_fract_z
Fe1 Fe 0.750 0.750 0.750
Cd1 Cd 0.500 0.500 0.500
Sc1 Sc 0.250 0.250 0.250
B1 B 0.000 0.000 0.000
```

Which of them is most stable, and which least? Most stable: run two; least stable: run one.

Run one
This record from OQMD describes crystalline TaCdFeB at its relaxed geometry. The functional is PBE.

Computed properties:
magnetization: 0.00 Bohr magnetons per cell

```
data_TaCdFeB
_symmetry_space_group_name_H-M 'P 1'
_symmetry_Int_Tables_number 1
_cell_length_a 4.271
_cell_length_b 4.271
_cell_length_c 4.271
_cell_angle_alpha 60.00
_cell_angle_beta 60.00
_cell_angle_gamma 60.00
loop_
_symmetry_equiv_pos_as_xyz
'x,y,z'
loop_
_atom_site_label
_atom_site_type_symbol
_atom_site_fract_x
_atom_site_fract_y
_atom_site_fract_z
B1 B 0.000 0.000 0.000
Ta1 Ta 0.500 0.500 0.500
Fe1 Fe 0.750 0.750 0.750
Cd1 Cd 0.250 0.250 0.250
```

Run two
This record from OQMD describes crystalline TaCdFeB at its relaxed geometry. The functional is PBE.

Computed properties:
magnetization: 1.83 Bohr magnetons per cell

```
data_TaCdFeB
_symmetry_space_group_name_H-M 'P 1'
_symmetry_Int_Tables_number 1
_cell_length_a 4.300
_cell_length_b 4.300
_cell_length_c 4.300
_cell_angle_alpha 60.00
_cell_angle_beta 60.00
_cell_angle_gamma 60.00
loop_
_symmetry_equiv_pos_as_xyz
'x,y,z'
loop_
_atom_site_label
_atom_site_type_symbol
_atom_site_fract_x
_atom_site_fract_y
_atom_site_fract_z
Ta1 Ta 0.250 0.250 0.250
B1 B 0.000 0.000 0.000
Cd1 Cd 0.500 0.500 0.500
Fe1 Fe 0.750 0.750 0.750
```

Which of them is most stable, and which least? Most stable: run two; least stable: run one.

Run one
This record from OQMD describes crystalline ZrCdFeB at its relaxed geometry. The functional is PBE.

Computed properties:
magnetization: 2.14 Bohr magnetons per cell

```
data_ZrCdFeB
_symmetry_space_group_name_H-M 'P 1'
_symmetry_Int_Tables_number 1
_cell_length_a 4.414
_cell_length_b 4.414
_cell_length_c 4.414
_cell_angle_alpha 60.00
_cell_angle_beta 60.00
_cell_angle_gamma 60.00
loop_
_symmetry_equiv_pos_as_xyz
'x,y,z'
loop_
_atom_site_label
_atom_site_type_symbol
_atom_site_fract_x
_atom_site_fract_y
_atom_site_fract_z
B1 B 0.000 0.000 0.000
Fe1 Fe 0.750 0.750 0.750
Zr1 Zr 0.250 0.250 0.250
Cd1 Cd 0.500 0.500 0.500
```

Run two
This record from OQMD describes crystalline ZrCdFeB at its relaxed geometry. The functional is PBE.

Computed properties:
magnetization: 1.29 Bohr magnetons per cell

```
data_ZrCdFeB
_symmetry_space_group_name_H-M 'P 1'
_symmetry_Int_Tables_number 1
_cell_length_a 4.399
_cell_length_b 4.399
_cell_length_c 4.399
_cell_angle_alpha 60.00
_cell_angle_beta 60.00
_cell_angle_gamma 60.00
loop_
_symmetry_equiv_pos_as_xyz
'x,y,z'
loop_
_atom_site_label
_atom_site_type_symbol
_atom_site_fract_x
_atom_site_fract_y
_atom_site_fract_z
Cd1 Cd 0.250 0.250 0.250
B1 B 0.000 0.000 0.000
Fe1 Fe 0.750 0.750 0.750
Zr1 Zr 0.500 0.500 0.500
```

Which of them is most stable, and which least? Most stable: run one; least stable: run two.

Run one
This record from OQMD describes crystalline GdCdB at its relaxed geometry. The functional is PBE.

Computed properties:
magnetization: 0.01 Bohr magnetons per cell

```
data_GdCdB
_symmetry_space_group_name_H-M 'P 1'
_symmetry_Int_Tables_number 1
_cell_length_a 4.361
_cell_length_b 4.361
_cell_length_c 4.361
_cell_angle_alpha 60.00
_cell_angle_beta 60.00
_cell_angle_gamma 60.00
loop_
_symmetry_equiv_pos_as_xyz
'x,y,z'
loop_
_atom_site_label
_atom_site_type_symbol
_atom_site_fract_x
_atom_site_fract_y
_atom_site_fract_z
Gd1 Gd 0.750 0.750 0.750
B1 B 0.000 0.000 0.000
Cd1 Cd 0.250 0.250 0.250
```

Run two
This record from OQMD describes crystalline GdCdB at its relaxed geometry. The functional is PBE.

Computed properties:
magnetization: 0.00 Bohr magnetons per cell

```
data_GdCdB
_symmetry_space_group_name_H-M 'P 1'
_symmetry_Int_Tables_number 1
_cell_length_a 4.490
_cell_length_b 4.490
_cell_length_c 4.490
_cell_angle_alpha 60.00
_cell_angle_beta 60.00
_cell_angle_gamma 60.00
loop_
_symmetry_equiv_pos_as_xyz
'x,y,z'
loop_
_atom_site_label
_atom_site_type_symbol
_atom_site_fract_x
_atom_site_fract_y
_atom_site_fract_z
B1 B 0.250 0.250 0.250
Gd1 Gd 0.750 0.750 0.750
Cd1 Cd 0.000 0.000 0.000
```

Which of them is most stable, and which least? Most stable: run one; least stable: run two.

Run one
This record from OQMD describes crystalline Hf2CdB at its relaxed geometry. The functional is PBE.

Computed properties:
magnetization: 0.09 Bohr magnetons per cell

```
data_Hf2CdB
_symmetry_space_group_name_H-M 'P 1'
_symmetry_Int_Tables_number 1
_cell_length_a 3.377
_cell_length_b 3.377
_cell_length_c 15.426
_cell_angle_alpha 90.00
_cell_angle_beta 90.00
_cell_angle_gamma 120.00
loop_
_symmetry_equiv_pos_as_xyz
'x,y,z'
loop_
_atom_site_label
_atom_site_type_symbol
_atom_site_fract_x
_atom_site_fract_y
_atom_site_fract_z
B1 B 0.000 0.000 0.000
Cd1 Cd 0.333 0.667 0.750
Hf1 Hf 0.667 0.333 0.584
Cd2 Cd 0.667 0.333 0.250
B2 B 0.000 0.000 0.500
Hf2 Hf 0.333 0.667 0.416
Hf3 Hf 0.667 0.333 0.916
Hf4 Hf 0.333 0.667 0.084
```

Run two
This record from OQMD describes crystalline Hf2CdB at its relaxed geometry. The functional is PBE.

Computed properties:
magnetization: 1.57 Bohr magnetons per cell

```
data_Hf2CdB
_symmetry_space_group_name_H-M 'P 1'
_symmetry_Int_Tables_number 1
_cell_length_a 4.692
_cell_length_b 4.692
_cell_length_c 4.692
_cell_angle_alpha 60.00
_cell_angle_beta 60.00
_cell_angle_gamma 60.00
loop_
_symmetry_equiv_pos_as_xyz
'x,y,z'
loop_
_atom_site_label
_atom_site_type_symbol
_atom_site_fract_x
_atom_site_fract_y
_atom_site_fract_z
Hf1 Hf 0.000 0.000 0.000
Hf2 Hf 0.750 0.750 0.750
Cd1 Cd 0.250 0.250 0.250
B1 B 0.500 0.500 0.500
```

Which of them is most stable, and which least? Most stable: run one; least stable: run two.

Run one
This record from OQMD describes crystalline CdHgB4 at its relaxed geometry. The functional is PBE.

```
data_CdHgB4
_symmetry_space_group_name_H-M 'P 1'
_symmetry_Int_Tables_number 1
_cell_length_a 5.452
_cell_length_b 5.452
_cell_length_c 5.452
_cell_angle_alpha 147.29
_cell_angle_beta 122.52
_cell_angle_gamma 67.72
loop_
_symmetry_equiv_pos_as_xyz
'x,y,z'
loop_
_atom_site_label
_atom_site_type_symbol
_atom_site_fract_x
_atom_site_fract_y
_atom_site_fract_z
B1 B 0.076 0.745 0.331
B2 B 0.924 0.255 0.669
Cd1 Cd 0.000 0.000 0.000
B3 B 0.586 0.255 0.331
Hg1 Hg 0.500 0.500 0.000
B4 B 0.414 0.745 0.669
```

Run two
This record from OQMD describes crystalline CdHgB4 at its relaxed geometry. The functional is PBE.

```
data_CdHgB4
_symmetry_space_group_name_H-M 'P 1'
_symmetry_Int_Tables_number 1
_cell_length_a 3.027
_cell_length_b 3.027
_cell_length_c 9.858
_cell_angle_alpha 90.00
_cell_angle_beta 90.00
_cell_angle_gamma 120.00
loop_
_symmetry_equiv_pos_as_xyz
'x,y,z'
loop_
_atom_site_label
_atom_site_type_symbol
_atom_site_fract_x
_atom_site_fract_y
_atom_site_fract_z
B1 B 0.667 0.333 0.209
B2 B 0.333 0.667 0.791
B3 B 0.333 0.667 0.209
B4 B 0.667 0.333 0.791
Cd1 Cd 0.000 0.000 0.000
Hg1 Hg 0.000 0.000 0.500
```

Which of them is most stable, and which least? Most stable: run two; least stable: run one.